# 1
An optimized crystal structure of K2PH4O5. Source: Alexandria, functional PBEsol.

Lattice parameters (Å, degrees): 7.292 7.292 11.814 91.57 91.57 112.50
Positions (direct):
K1 0.034 0.966 0.500
K2 0.184 0.573 0.034
K3 0.391 0.644 0.561
K4 0.573 0.184 0.534
K5 0.631 0.859 0.242
K6 0.644 0.391 0.061
K7 0.859 0.631 0.742
K8 0.966 0.034 0.000
P1 0.281 0.316 0.282
P2 0.316 0.281 0.782
P3 0.322 0.983 0.789
P4 0.983 0.322 0.289
H1 0.031 0.350 0.635
H2 0.052 0.895 0.193
H3 0.215 0.734 0.358
H4 0.304 0.962 0.330
H5 0.344 0.956 0.005
H6 0.350 0.031 0.135
H7 0.527 0.599 0.905
H8 0.588 0.829 0.885
H9 0.599 0.527 0.405
H10 0.669 0.964 0.719
H11 0.734 0.215 0.858
H12 0.829 0.588 0.385
H13 0.895 0.052 0.693
H14 0.956 0.344 0.505
H15 0.962 0.304 0.830
H16 0.964 0.669 0.219
O1 0.012 0.543 0.316
O2 0.097 0.241 0.740
O3 0.190 0.873 0.885
O4 0.241 0.097 0.240
O5 0.251 0.888 0.670
O6 0.325 0.865 0.383
O7 0.353 0.376 0.903
O8 0.376 0.353 0.403
O9 0.395 0.468 0.197
O10 0.422 0.981 0.079
O11 0.468 0.395 0.697
O12 0.543 0.012 0.816
O13 0.638 0.733 0.920
O14 0.733 0.638 0.420
O15 0.765 0.949 0.662
O16 0.865 0.325 0.883
O17 0.873 0.190 0.385
O18 0.888 0.251 0.170
O19 0.949 0.765 0.162
O20 0.981 0.422 0.579

Calculated values
As for the raw total energy: -267.9 eV for the cell shown. The space-group type is Cc. The value obtained for the density is 2.21 g/cm3.

# 2
An optimized crystal structure of K2PH3SO8. Source: Alexandria, functional PBEsol.

Lattice parameters (Å, degrees): 7.105 7.374 7.389 88.01 81.34 89.61
Positions (direct):
K1 0.093 0.198 0.302
K2 0.391 0.702 0.205
K3 0.609 0.298 0.795
K4 0.907 0.802 0.698
P1 0.089 0.294 0.759
P2 0.911 0.706 0.241
H1 0.000 0.500 0.000
H2 0.224 0.066 0.894
H3 0.272 0.510 0.606
H4 0.500 0.000 0.500
H5 0.728 0.490 0.394
H6 0.776 0.934 0.106
S1 0.405 0.793 0.740
S2 0.595 0.207 0.260
O1 0.021 0.543 0.151
O2 0.029 0.840 0.321
O3 0.202 0.204 0.909
O4 0.247 0.373 0.600
O5 0.261 0.866 0.887
O6 0.309 0.715 0.595
O7 0.472 0.339 0.182
O8 0.473 0.048 0.348
O9 0.527 0.952 0.652
O10 0.528 0.661 0.818
O11 0.691 0.285 0.405
O12 0.739 0.134 0.113
O13 0.753 0.627 0.400
O14 0.798 0.796 0.091
O15 0.971 0.160 0.679
O16 0.979 0.457 0.849

Calculated values
As for the raw total energy: -181.2 eV for the cell shown. The space-group type is P-1. The value obtained for the density is 2.36 g/cm3.

# 3
An optimized crystal structure of K4PH5Se3O16. Source: Alexandria, functional PBEsol.

Lattice parameters (Å, degrees): 7.434 7.685 7.760 71.22 86.98 85.39
Positions (direct):
K1 0.000 0.000 0.000
K2 0.058 0.488 0.434
K3 0.366 0.559 0.876
K4 0.695 0.937 0.548
P1 0.567 0.466 0.407
H1 0.285 0.172 0.240
H2 0.402 0.679 0.181
H3 0.526 0.271 0.690
H4 0.666 0.754 0.294
H5 0.768 0.317 0.197
Se1 0.160 0.959 0.494
Se2 0.499 0.017 0.019
Se3 0.899 0.526 0.940
O1 0.018 0.612 0.064
O2 0.027 0.478 0.780
O3 0.034 0.007 0.656
O4 0.041 0.875 0.370
O5 0.219 0.179 0.360
O6 0.350 0.836 0.560
O7 0.367 0.188 0.054
O8 0.368 0.845 0.033
O9 0.408 0.544 0.275
O10 0.477 0.399 0.602
O11 0.598 0.094 0.814
O12 0.659 0.940 0.173
O13 0.681 0.310 0.370
O14 0.686 0.628 0.399
O15 0.713 0.653 0.869
O16 0.837 0.309 0.076

Calculated values
As for the raw total energy: -160.9 eV for the cell shown. The space-group type is P1. The value obtained for the density is 2.72 g/cm3.

# 4
An optimized crystal structure of K4PH5Se3O16. Source: Alexandria, functional PBEsol.

Lattice parameters (Å, degrees): 7.678 7.761 14.861 87.07 85.49 71.24
Positions (direct):
K1 0.184 0.341 0.332
K2 0.194 0.331 0.833
K3 0.252 0.784 0.486
K4 0.261 0.781 0.986
K5 0.739 0.219 0.014
K6 0.748 0.216 0.514
K7 0.806 0.669 0.167
K8 0.816 0.659 0.668
P1 0.277 0.808 0.231
P2 0.723 0.192 0.769
H1 0.011 0.078 0.819
H2 0.063 0.036 0.313
H3 0.425 0.017 0.132
H4 0.430 0.025 0.627
H5 0.471 0.526 0.252
H6 0.529 0.474 0.748
H7 0.570 0.975 0.373
H8 0.575 0.983 0.868
H9 0.937 0.964 0.687
H10 0.989 0.922 0.181
Se1 0.217 0.278 0.564
Se2 0.218 0.276 0.066
Se3 0.274 0.803 0.735
Se4 0.726 0.197 0.265
Se5 0.782 0.724 0.934
Se6 0.783 0.722 0.436
O1 0.090 0.350 0.159
O2 0.094 0.342 0.659
O3 0.102 0.817 0.670
O4 0.115 0.816 0.172
O5 0.130 0.153 0.007
O6 0.133 0.153 0.504
O7 0.197 0.956 0.815
O8 0.199 0.942 0.311
O9 0.262 0.441 0.502
O10 0.269 0.434 0.002
O11 0.344 0.614 0.277
O12 0.352 0.597 0.784
O13 0.433 0.139 0.098
O14 0.433 0.845 0.174
O15 0.437 0.144 0.593
O16 0.445 0.839 0.669
O17 0.555 0.161 0.331
O18 0.563 0.856 0.407
O19 0.567 0.155 0.826
O20 0.567 0.861 0.902
O21 0.648 0.403 0.216
O22 0.656 0.386 0.723
O23 0.731 0.566 0.998
O24 0.738 0.559 0.498
O25 0.801 0.058 0.689
O26 0.803 0.044 0.185
O27 0.867 0.847 0.496
O28 0.870 0.847 0.993
O29 0.885 0.184 0.828
O30 0.898 0.183 0.330
O31 0.906 0.658 0.341
O32 0.910 0.650 0.841

Calculated values
As for the raw total energy: -321.8 eV for the cell shown. The space-group type is P-1. The value obtained for the density is 2.72 g/cm3.

# 5
An optimized crystal structure of K2PH4Se3O2. Source: Alexandria, functional PBEsol.

Lattice parameters (Å, degrees): 8.610 8.610 11.708 90.00 90.00 94.97
Positions (direct):
K1 0.025 0.975 0.861
K2 0.084 0.416 0.750
K3 0.416 0.084 0.250
K4 0.475 0.525 0.361
K5 0.525 0.475 0.639
K6 0.584 0.916 0.750
K7 0.916 0.584 0.250
K8 0.975 0.025 0.139
P1 0.081 0.919 0.541
P2 0.419 0.581 0.041
P3 0.581 0.419 0.959
P4 0.919 0.081 0.459
H1 0.082 0.702 0.014
H2 0.100 0.318 0.002
H3 0.182 0.400 0.498
H4 0.202 0.582 0.514
H5 0.298 0.918 0.014
H6 0.318 0.100 0.998
H7 0.400 0.182 0.502
H8 0.418 0.798 0.514
H9 0.582 0.202 0.486
H10 0.600 0.818 0.498
H11 0.682 0.900 0.002
H12 0.702 0.082 0.986
H13 0.798 0.418 0.486
H14 0.818 0.600 0.502
H15 0.900 0.682 0.998
H16 0.918 0.298 0.986
Se1 0.069 0.247 0.356
Se2 0.192 0.808 0.396
Se3 0.247 0.069 0.644
Se4 0.253 0.431 0.144
Se5 0.308 0.692 0.896
Se6 0.431 0.253 0.856
Se7 0.569 0.747 0.144
Se8 0.692 0.308 0.104
Se9 0.747 0.569 0.856
Se10 0.753 0.931 0.356
Se11 0.808 0.192 0.604
Se12 0.931 0.753 0.644
O1 0.016 0.262 0.955
O2 0.238 0.484 0.545
O3 0.262 0.016 0.045
O4 0.484 0.238 0.455
O5 0.516 0.762 0.545
O6 0.738 0.984 0.955
O7 0.762 0.516 0.455
O8 0.984 0.738 0.045

Calculated values
As for the raw total energy: -217.7 eV for the cell shown. The space-group type is Cmce. The value obtained for the density is 2.93 g/cm3.

# 6
An optimized crystal structure of K4TeP4H10O20. Source: Alexandria, functional PBEsol.

Lattice parameters (Å, degrees): 7.477 7.477 16.884 95.62 95.62 98.98
Positions (direct):
K1 0.072 0.928 0.750
K2 0.206 0.446 0.432
K3 0.289 0.711 0.250
K4 0.446 0.206 0.932
K5 0.554 0.794 0.068
K6 0.711 0.289 0.750
K7 0.794 0.554 0.568
K8 0.928 0.072 0.250
Te1 0.000 0.000 0.000
Te2 0.000 0.000 0.500
P1 0.236 0.357 0.735
P2 0.349 0.639 0.634
P3 0.357 0.236 0.235
P4 0.361 0.651 0.866
P5 0.639 0.349 0.134
P6 0.643 0.764 0.765
P7 0.651 0.361 0.366
P8 0.764 0.643 0.265
H1 0.002 0.733 0.073
H2 0.027 0.263 0.599
H3 0.092 0.447 0.076
H4 0.134 0.815 0.903
H5 0.185 0.866 0.597
H6 0.205 0.571 0.022
H7 0.263 0.027 0.099
H8 0.267 0.998 0.427
H9 0.429 0.795 0.478
H10 0.447 0.092 0.576
H11 0.553 0.908 0.424
H12 0.571 0.205 0.522
H13 0.733 0.002 0.573
H14 0.737 0.973 0.901
H15 0.795 0.429 0.978
H16 0.815 0.134 0.403
H17 0.866 0.185 0.097
H18 0.908 0.553 0.924
H19 0.973 0.737 0.401
H20 0.998 0.267 0.927
O1 0.007 0.794 0.922
O2 0.008 0.255 0.538
O3 0.046 0.281 0.696
O4 0.074 0.166 0.923
O5 0.147 0.577 0.073
O6 0.158 0.681 0.631
O7 0.166 0.074 0.423
O8 0.206 0.993 0.578
O9 0.215 0.533 0.796
O10 0.237 0.348 0.275
O11 0.255 0.008 0.038
O12 0.281 0.046 0.196
O13 0.319 0.842 0.869
O14 0.348 0.237 0.775
O15 0.357 0.447 0.669
O16 0.361 0.559 0.941
O17 0.423 0.853 0.427
O18 0.441 0.639 0.559
O19 0.447 0.357 0.169
O20 0.467 0.785 0.704
O21 0.533 0.215 0.296
O22 0.553 0.643 0.831
O23 0.559 0.361 0.441
O24 0.577 0.147 0.573
O25 0.639 0.441 0.059
O26 0.643 0.553 0.331
O27 0.652 0.763 0.225
O28 0.681 0.158 0.131
O29 0.719 0.954 0.804
O30 0.745 0.992 0.962
O31 0.763 0.652 0.725
O32 0.785 0.467 0.204
O33 0.794 0.007 0.422
O34 0.834 0.926 0.577
O35 0.842 0.319 0.369
O36 0.853 0.423 0.927
O37 0.926 0.834 0.077
O38 0.954 0.719 0.304
O39 0.992 0.745 0.462
O40 0.993 0.206 0.078

Calculated values
As for the raw total energy: -468.8 eV for the cell shown. The space-group type is C2/c. The value obtained for the density is 2.66 g/cm3.

# 7
An optimized crystal structure of KYP2H4O9. Source: Alexandria, functional PBEsol.

Lattice parameters (Å, degrees): 7.743 10.354 10.036 90.00 92.99 90.00
Positions (direct):
K1 0.249 0.223 0.163
K2 0.249 0.277 0.663
K3 0.751 0.723 0.337
K4 0.751 0.777 0.837
Y1 0.253 0.614 0.325
Y2 0.253 0.886 0.825
Y3 0.747 0.114 0.175
Y4 0.747 0.386 0.675
P1 0.030 0.655 0.618
P2 0.030 0.845 0.118
P3 0.389 0.606 0.666
P4 0.389 0.894 0.166
P5 0.611 0.106 0.834
P6 0.611 0.394 0.334
P7 0.970 0.155 0.882
P8 0.970 0.345 0.382
H1 0.156 0.592 0.043
H2 0.156 0.908 0.543
H3 0.301 0.021 0.540
H4 0.301 0.479 0.040
H5 0.432 0.078 0.366
H6 0.432 0.422 0.866
H7 0.469 0.196 0.463
H8 0.469 0.304 0.963
H9 0.531 0.696 0.037
H10 0.531 0.804 0.537
H11 0.568 0.578 0.134
H12 0.568 0.922 0.634
H13 0.699 0.521 0.960
H14 0.699 0.979 0.460
H15 0.844 0.092 0.457
H16 0.844 0.408 0.957
O1 0.046 0.725 0.206
O2 0.046 0.775 0.706
O3 0.058 0.685 0.472
O4 0.058 0.815 0.972
O5 0.136 0.081 0.861
O6 0.136 0.419 0.361
O7 0.188 0.558 0.668
O8 0.188 0.942 0.168
O9 0.233 0.538 0.099
O10 0.233 0.962 0.599
O11 0.383 0.126 0.442
O12 0.383 0.374 0.942
O13 0.412 0.717 0.765
O14 0.412 0.783 0.265
O15 0.419 0.647 0.523
O16 0.419 0.853 0.023
O17 0.489 0.014 0.214
O18 0.489 0.486 0.714
O19 0.511 0.514 0.286
O20 0.511 0.986 0.786
O21 0.581 0.147 0.977
O22 0.581 0.353 0.477
O23 0.588 0.217 0.735
O24 0.588 0.283 0.235
O25 0.617 0.626 0.058
O26 0.617 0.874 0.558
O27 0.767 0.038 0.401
O28 0.767 0.462 0.901
O29 0.812 0.058 0.832
O30 0.812 0.442 0.332
O31 0.864 0.581 0.639
O32 0.864 0.919 0.139
O33 0.942 0.185 0.028
O34 0.942 0.315 0.528
O35 0.954 0.225 0.294
O36 0.954 0.275 0.794

Calculated values
As for the raw total energy: -464.5 eV for the cell shown. The space-group type is P2_1/c. The value obtained for the density is 2.79 g/cm3.